A plane-wave DFT calculation with PBE was carried out for a geometry-optimized Ti2OsPbS structure.

Values from the calculation:
- N(E_F) (states/eV per atom) = 1.087
- crystal system = tetragonal
- calculated density (Mg/m³) = 9.57
- formation energy from raw total energies (eV per atom) = -0.006

a = 4.513 Å, b = 4.474 Å, c = 4.513 Å
α = 90.00°, β = 90.00°, γ = 90.00°
Element x y z (fractional)
Pb  0.500  0.500  0.500
S  0.000  0.000  0.000
Os  0.000  0.500  0.000
Ti  0.000  0.000  0.500
Ti  0.500  0.000  0.000